Below is a relaxed structure of Li4AlPt2Pb, with properties calculated at the PBE level.

Computed properties:
Calculated density: 8.825 g/cm³
Space group: P-4m2
Total DFT energy (no corrections): -3.988 eV/atom

abc: 4.359 4.359 6.458
angles: 90.00 90.00 90.00
Positions (direct):
Pb: 0.000 0.000 0.500
Li: 0.000 0.500 0.776
Li: 0.500 0.000 0.224
Li: 0.500 0.500 0.500
Li: 0.000 0.000 0.000
Al: 0.500 0.500 0.000
Pt: 0.000 0.500 0.216
Pt: 0.500 0.000 0.784

---

Below is a relaxed structure of LiAlPd2, with properties calculated at the PBE level.

Computed properties:
Calculated density: 7.094 g/cm³
Space group: F-43m
Total DFT energy (no corrections): -4.554 eV/atom

abc: 4.339 4.339 4.339
angles: 60.00 60.00 60.00
Positions (direct):
Al: 0.500 0.500 0.500
Pd: 0.750 0.750 0.750
Pd: 0.000 0.000 0.000
Li: 0.250 0.250 0.250

---

Below is a relaxed structure of LiAlPd2, with properties calculated at the PBE level.

Computed properties:
Calculated density: 6.690 g/cm³
Space group: P6_3/mmc
Total DFT energy (no corrections): -4.486 eV/atom

abc: 4.295 4.295 7.666
angles: 90.00 90.00 120.00
Positions (direct):
Al: 0.667 0.333 0.250
Al: 0.333 0.667 0.750
Pd: 0.667 0.333 0.579
Pd: 0.333 0.667 0.421
Pd: 0.667 0.333 0.921
Pd: 0.333 0.667 0.079
Li: 0.000 0.000 0.250
Li: 0.000 0.000 0.750

---

Below is a relaxed structure of LiAlPd2, with properties calculated at the PBE level.

Computed properties:
Calculated density: 7.414 g/cm³
Space group: Cmmm
Total DFT energy (no corrections): -4.791 eV/atom

abc: 5.902 6.396 5.857
angles: 90.00 90.00 90.00
Positions (direct):
Al: 0.750 0.750 0.500
Al: 0.250 0.250 0.000
Al: 0.750 0.750 0.000
Al: 0.250 0.250 0.500
Pd: 0.500 0.500 0.750
Pd: 0.000 0.500 0.750
Pd: 0.000 0.000 0.750
Pd: 0.000 0.500 0.250
Pd: 0.500 0.500 0.250
Pd: 0.500 0.000 0.250
Pd: 0.000 0.000 0.250
Pd: 0.500 0.000 0.750
Li: 0.250 0.750 0.500
Li: 0.250 0.750 0.000
Li: 0.750 0.250 0.500
Li: 0.750 0.250 0.000

---

Below is a relaxed structure of Li2AlPd, with properties calculated at the PBE level.

Computed properties:
Calculated density: 4.406 g/cm³
Space group: F-43m
Total DFT energy (no corrections): -3.715 eV/atom

abc: 4.282 4.282 4.282
angles: 120.00 90.00 120.00
Positions (direct):
Al: 0.000 0.000 0.000
Li: 0.750 0.500 0.250
Li: 0.500 0.000 0.500
Pd: 0.250 0.500 0.750

---

Below is a relaxed structure of Li2AlPd, with properties calculated at the PBE level.

Computed properties:
Calculated density: 4.391 g/cm³
Space group: P-4m2
Total DFT energy (no corrections): -3.715 eV/atom

abc: 4.292 4.292 6.049
angles: 90.00 90.00 90.00
Positions (direct):
Li: 0.000 0.500 0.751
Li: 0.500 0.500 0.000
Li: 0.500 0.000 0.249
Li: 0.000 0.000 0.500
Pd: 0.500 0.000 0.750
Pd: 0.000 0.500 0.250
Al: 0.000 0.000 0.000
Al: 0.500 0.500 0.500

---

Below is a relaxed structure of LiAlPd2, with properties calculated at the PBE level.

Computed properties:
Calculated density: 6.392 g/cm³
Space group: P6_3/mmc
Total DFT energy (no corrections): -4.594 eV/atom

abc: 4.271 4.271 8.116
angles: 90.00 90.00 120.00
Positions (direct):
Al: 0.000 0.000 0.000
Al: 0.000 0.000 0.500
Pd: 0.333 0.667 0.581
Pd: 0.333 0.667 0.919
Pd: 0.667 0.333 0.081
Pd: 0.667 0.333 0.419
Li: 0.667 0.333 0.750
Li: 0.333 0.667 0.250

---

Below is a relaxed structure of LiAlPd2, with properties calculated at the PBE level.

Computed properties:
Calculated density: 7.383 g/cm³
Space group: P4/mmm
Total DFT energy (no corrections): -4.766 eV/atom

abc: 3.034 3.034 6.030
angles: 90.00 90.00 90.00
Positions (direct):
Pd: 0.500 0.500 0.754
Pd: 0.500 0.500 0.246
Al: 0.000 0.000 0.000
Li: 0.000 0.000 0.500

---

Below is a relaxed structure of Li2AlPd3, with properties calculated at the PBE level.

Computed properties:
Calculated density: 7.392 g/cm³
Space group: P-3m1
Total DFT energy (no corrections): -4.568 eV/atom

abc: 4.239 4.239 5.199
angles: 90.00 90.00 120.00
Positions (direct):
Li: 0.667 0.333 0.341
Li: 0.333 0.667 0.659
Pd: 0.333 0.667 0.160
Pd: 0.000 0.000 0.500
Pd: 0.667 0.333 0.840
Al: 0.000 0.000 0.000

---

Below is a relaxed structure of LiAlPd2, with properties calculated at the PBE level.

Computed properties:
Calculated density: 7.422 g/cm³
Space group: P4/mmm
Total DFT energy (no corrections): -4.790 eV/atom

abc: 4.338 4.338 2.934
angles: 90.00 90.00 90.00
Positions (direct):
Li: 0.500 0.500 0.000
Pd: 0.500 0.000 0.500
Pd: 0.000 0.500 0.500
Al: 0.000 0.000 0.000

---

Below is a relaxed structure of LiAlPd2, with properties calculated at the PBE level.

Computed properties:
Calculated density: 6.649 g/cm³
Space group: P6_3/mmc
Total DFT energy (no corrections): -4.574 eV/atom

abc: 4.264 4.264 7.827
angles: 90.00 90.00 120.00
Positions (direct):
Li: 0.000 0.000 0.500
Li: 0.000 0.000 0.000
Pd: 0.333 0.667 0.917
Pd: 0.333 0.667 0.583
Pd: 0.667 0.333 0.417
Pd: 0.667 0.333 0.083
Al: 0.667 0.333 0.750
Al: 0.333 0.667 0.250

---

Below is a relaxed structure of Li2ScAl2Pd2Pt, with properties calculated at the PBE level.

Computed properties:
Calculated density: 7.078 g/cm³
Space group: P-4m2
Total DFT energy (no corrections): -4.862 eV/atom

abc: 4.390 4.390 6.340
angles: 90.00 90.00 90.00
Positions (direct):
Pd: 0.500 0.000 0.235
Pd: 0.000 0.500 0.765
Pt: 0.000 0.000 0.500
Al: 0.500 0.500 0.500
Al: 0.000 0.000 0.000
Li: 0.500 0.000 0.721
Li: 0.000 0.500 0.279
Sc: 0.500 0.500 0.000